A plane-wave DFT calculation with PBE was carried out for a relaxed HfAgBr3 crystal.

Cell: 5.272 5.272 5.272 Å, 90.00 90.00 90.00°
Positions (direct):
Hf: 0.000 0.000 0.000
Ag: 0.500 0.500 0.500
Br: 0.000 0.000 0.500
Br: 0.000 0.500 0.000
Br: 0.500 0.000 0.000

Properties
uncorrected formation energy = -373 meV/atom
E above lowest polymorph = 0.000 eV/atom